KAgBiSe3: relaxed, PBE-GGA.

The space group is P2_1/m (No. 11) and the conventional cell measures 9.233, 4.256 and 9.790 Å, with angles of 90.00, 106.32 and 90.00 degrees. The inequivalent atoms are K at (0.199, 0.250, 0.241), Ag at (0.076, 0.250, 0.593), Bi at (0.329, 0.750, 0.863), Se at (0.114, 0.250, 0.876), Se at (0.222, 0.750, 0.533) and Se at (0.454, 0.750, 0.163).

Its formation energy without anion corrections is -478 meV per atom.



KAg2Bi3Se6: relaxed, PBE-GGA.

The space group is C2/m (No. 12) and the conventional cell measures 18.255, 4.254 and 8.789 Å, with angles of 90.00, 103.98 and 90.00 degrees. The inequivalent atoms are K at (0.000, 0.000, 0.000), Ag at (0.166, 0.500, 0.309), Bi at (0.000, 0.000, 0.500), Bi at (0.166, 0.500, 0.828), Se at (0.013, 0.500, 0.278), Se at (0.172, 0.000, 0.600) and Se at (0.176, 0.000, 0.090).

Its formation energy without anion corrections is -418 meV per atom.



KAgBiSe2: relaxed, PBE-GGA.

The space group is Cmme (No. 67) and the conventional cell measures 8.667, 16.362 and 4.869 Å, with angles of 90.00, 90.00 and 90.00 degrees. The inequivalent atoms are K at (0.000, 0.250, 0.161), Ag at (0.000, 0.000, 0.000), Bi at (0.250, 0.000, 0.500) and Se at (0.000, 0.117, 0.653).

Its formation energy without anion corrections is -412 meV per atom.